Record 1
Compound: Na2CdGaH
Source: Alexandria via LeMat-Bulk
Functional: GGA-PBE
Structure: optimized geometry

The structure in CIF format:
```
data_Na2CdGaH
_chemical_formula_sum 'Na2 Cd1 Ga1 H1'
_cell_length_a 4.5850
_cell_length_b 4.5850
_cell_length_c 4.5568
_cell_angle_alpha 90.00
_cell_angle_beta 90.00
_cell_angle_gamma 90.00
_space_group_name_H-M_alt 'P 4/m m m'
_space_group_IT_number 123
_space_group_name_Hall '-P 4 2'
loop_
_atom_site_label
_atom_site_type_symbol
_atom_site_fract_x
_atom_site_fract_y
_atom_site_fract_z
Na1 Na 0.0000 0.5000 0.0000
Cd1 Cd 0.0000 0.0000 0.5000
Ga1 Ga 0.5000 0.5000 0.5000
H1 H 0.0000 0.0000 0.0000
```

Calculated values
Size of the total moment in Bohr magnetons per cell: 0.000
VASP energy in Ry per atom: -0.142
Excess energy over the best structure of this formula in the dataset in meV per atom: 18.9
Crystal system: tetragonal

Record 2
Compound: DyHo3Er2Sb6
Source: Alexandria via LeMat-Bulk
Functional: GGA-PBE
Structure: optimized geometry

The structure in CIF format:
```
data_DyHo3Er2Sb6
_chemical_formula_sum 'Dy2 Ho6 Er4 Sb12'
_cell_length_a 19.0201
_cell_length_b 4.3635
_cell_length_c 8.7286
_cell_angle_alpha 90.00
_cell_angle_beta 103.21
_cell_angle_gamma 90.00
_space_group_name_H-M_alt 'C 1 2/m 1'
_space_group_IT_number 12
loop_
_space_group_symop_operation_xyz
'x,y,z'
'-x,-y,-z'
'-x,y,-z'
'x,-y,z'
'x+1/2,y+1/2,z'
'-x+1/2,-y+1/2,-z'
'-x+1/2,y+1/2,-z'
'x+1/2,-y+1/2,z'
loop_
_atom_site_label
_atom_site_type_symbol
_atom_site_fract_x
_atom_site_fract_y
_atom_site_fract_z
Dy1 Dy 0.0000 0.0000 0.0000
Ho1 Ho 0.0000 0.0000 0.5000
Ho2 Ho 0.1663 0.5000 0.8330
Er1 Er 0.1669 0.5000 0.3333
Sb1 Sb 0.0005 0.5000 0.2510
Sb2 Sb 0.1671 0.0000 0.0842
Sb3 Sb 0.1669 0.0000 0.5825
```

Calculated values
Size of the total moment in Bohr magnetons per cell: 0.000
VASP energy in Ry per atom: -0.401
E_form (uncorrected) in eV/atom: -1.1105
Crystal system: monoclinic

Record 3
Compound: Gd2TmAg
Source: Alexandria via LeMat-Bulk
Functional: GGA-PBE
Structure: optimized geometry

The structure in CIF format:
```
data_Gd2TmAg
_chemical_formula_sum 'Gd2 Tm1 Ag1'
_cell_length_a 3.6324
_cell_length_b 3.6324
_cell_length_c 8.5705
_cell_angle_alpha 90.00
_cell_angle_beta 90.00
_cell_angle_gamma 90.00
_space_group_name_H-M_alt 'P 4/m m m'
_space_group_IT_number 123
_space_group_name_Hall '-P 4 2'
loop_
_atom_site_label
_atom_site_type_symbol
_atom_site_fract_x
_atom_site_fract_y
_atom_site_fract_z
Gd1 Gd 0.0000 0.0000 0.2191
Tm1 Tm 0.5000 0.5000 0.5000
Ag1 Ag 0.5000 0.5000 0.0000
```

Calculated values
Size of the total moment in Bohr magnetons per cell: 15.349
VASP energy in Ry per atom: -0.661
Excess energy over the best structure of this formula in the dataset in meV per atom: 0.0
Formation enthalpy at 0 K in meV/atom: -117
Crystal system: tetragonal